This record from Alexandria via LeMat-Bulk describes crystalline Tm2PaSe6 at its relaxed geometry. The functional is PBE.

a = 6.640 Å, b = 6.640 Å, c = 12.464 Å
α = 90.00°, β = 90.00°, γ = 90.00°
Element x y z (fractional)
Tm (0.000, 0.000, 0.166)
Tm (0.000, 0.000, 0.834)
Tm (0.500, 0.500, 0.334)
Tm (0.500, 0.500, 0.666)
Pa (0.000, 0.000, 0.500)
Pa (0.500, 0.500, 0.000)
Se (0.199, 0.199, 0.336)
Se (0.199, 0.199, 0.664)
Se (0.204, 0.204, 0.000)
Se (0.296, 0.704, 0.500)
Se (0.301, 0.699, 0.164)
Se (0.301, 0.699, 0.836)
Se (0.699, 0.301, 0.164)
Se (0.699, 0.301, 0.836)
Se (0.704, 0.296, 0.500)
Se (0.796, 0.796, 0.000)
Se (0.801, 0.801, 0.336)
Se (0.801, 0.801, 0.664)

Results
crystal system: tetragonal
formation energy (no corrections): -1413 meV/atom
space group: P4_2/mnm, No. 136